Record 1
Density functional theory data (GGA-PBE) for crystalline K2Tl5Cd3 at its relaxed geometry.

Unit cell a=7.332 b=10.309 c=10.309 alpha=74.96 beta=69.17 gamma=69.17
Fractional coordinates of all 20 atoms:
K  0.132  0.608  0.128
K  0.632  0.128  0.608
K  0.868  0.392  0.872
K  0.368  0.872  0.392
Tl  0.394  0.255  0.957
Tl  0.894  0.957  0.255
Tl  0.606  0.745  0.043
Tl  0.106  0.043  0.745
Tl  0.483  0.767  0.767
Tl  0.517  0.233  0.233
Tl  0.750  0.500  0.500
Tl  0.250  0.500  0.500
Tl  0.017  0.233  0.233
Tl  0.983  0.767  0.767
Cd  0.365  0.517  0.754
Cd  0.865  0.754  0.517
Cd  0.635  0.483  0.246
Cd  0.135  0.246  0.483
Cd  0.250  0.000  0.000
Cd  0.750  0.000  0.000

Calculated values
Space group: Ibam

***

Record 2
Density functional theory data (GGA-PBE) for crystalline K2TlCd at its relaxed geometry.

Unit cell a=6.776 b=6.776 c=6.776 alpha=140.10 beta=126.13 gamma=69.10
Fractional coordinates of all 4 atoms:
Tl  0.460  0.460  0.000
K  0.023  0.023  0.000
K  0.728  0.228  0.500
Cd  0.290  0.790  0.500

Calculated values
Space group: Imm2

***

Record 3
Density functional theory data (GGA-PBE) for crystalline KTl9Cd2 at its relaxed geometry.

Unit cell a=8.686 b=10.368 c=10.368 alpha=79.89 beta=65.23 gamma=65.23
Fractional coordinates of all 24 atoms:
K  0.500  0.000  0.000
K  0.250  0.500  0.500
Tl  0.750  0.500  0.500
Tl  0.000  0.000  0.000
Tl  0.996  0.925  0.680
Tl  0.601  0.075  0.320
Tl  0.671  0.180  0.575
Tl  0.426  0.820  0.425
Tl  0.754  0.820  0.575
Tl  0.149  0.180  0.425
Tl  0.079  0.925  0.320
Tl  0.324  0.075  0.680
Tl  0.754  0.575  0.820
Tl  0.149  0.425  0.180
Tl  0.079  0.320  0.925
Tl  0.324  0.680  0.075
Tl  0.996  0.680  0.925
Tl  0.601  0.320  0.075
Tl  0.671  0.575  0.180
Tl  0.426  0.425  0.820
Cd  0.875  0.250  0.750
Cd  0.875  0.750  0.250
Cd  0.875  0.250  0.250
Cd  0.375  0.750  0.750

Calculated values
Space group: I4_1/amd

***

Record 4
Density functional theory data (GGA-PBE) for crystalline K2TlCd2 at its relaxed geometry.

Unit cell a=5.345 b=6.883 c=11.389 alpha=83.73 beta=76.43 gamma=67.15
Fractional coordinates of all 10 atoms:
K  0.298  0.289  0.114
K  0.501  0.322  0.675
K  0.702  0.711  0.886
K  0.499  0.678  0.325
Tl  0.773  0.088  0.366
Tl  0.227  0.912  0.634
Cd  0.999  0.117  0.885
Cd  0.134  0.283  0.448
Cd  0.001  0.883  0.115
Cd  0.866  0.717  0.552

Calculated values
Energy relative to the lowest polymorph listed for this composition (kJ/mol of formula units): 2
Space group: C2/m

***

Energy relative to the elements in eV/atom, matching the order above: -0.047 -0.059 -0.020 -0.081